# 1
Ba2GaGeN | GGA-PBEsol | relaxed

Calculated values
uncorrected formation energy: -0.65 eV/atom

a b c (Å): 7.2398 4.1749 9.2178
angles (deg): 90.00 108.70 90.00
Last column: nearest neighbours and their distance in Å.
Space group P2_1/m (No. 11)
Asymmetric unit:
Ba: 0.1905 0.2500 0.3834 [2 per cell]  2 N 2.85
Ba: 0.2046 0.2500 0.9609 [2 per cell]  3 N 2.69-2.89
Ga: 0.4592 0.7500 0.2454 [2 per cell]  1 N 1.88
Ge: 0.3413 0.7500 0.7024 [2 per cell]  2 Ga 2.50
N: 0.1846 0.7500 0.1718 [2 per cell]  1 Ga 1.88

# 2
Ta2CrP | GGA-PBEsol | relaxed

Calculated values
energy of formation: -0.79 eV per formula unit

a b c (Å): 3.1685 3.1685 5.8201
angles (deg): 90.00 90.00 90.00
Last column: nearest neighbours and their distance in Å.
Space group P4mm (No. 99)
Asymmetric unit:
Ta: 0.0000 0.0000 0.0000 [1 per cell]  4 P 2.60, 1 Cr 2.61, 4 Ta 2.91
Ta: 0.5000 0.5000 0.3198 [1 per cell]  4 Cr 2.62, 1 P 2.64, 4 Ta 2.91
Cr: 0.0000 0.0000 0.5517 [1 per cell]  4 P 2.58, 5 Ta 2.61-2.62
P: 0.5000 0.5000 0.7730 [1 per cell]  4 Cr 2.58, 5 Ta 2.60-2.64

# 3
CoCuPb2 | GGA-PBEsol | relaxed

Calculated values
energy of formation: 1.35 eV per formula unit

a b c (Å): 3.2013 3.2013 7.6576
angles (deg): 90.00 90.00 90.00
Last column: nearest neighbours and their distance in Å.
Space group P4mm (No. 99)
Asymmetric unit:
Co: 0.0000 0.0000 0.0000 [1 per cell]  4 Cu 2.51
Cu: 0.5000 0.5000 0.1422 [1 per cell]  4 Co 2.51, 1 Pb 2.79
Pb: 0.0000 0.0000 0.3698 [1 per cell]  1 Co 2.83, 4 Cu 2.86
Pb: 0.5000 0.5000 0.7778 [1 per cell]  1 Cu 2.79, 4 Co 2.83